Material: CsY2Ir2
Method: DFT, PBE
State: optimized geometry

```
CsY2Ir2
1.0
8.647 0.000 0.000
0.000 8.647 0.000
0.000 0.000 3.296
Cs Y Ir
2 4 4
Direct
0.000 0.000 0.000
0.500 0.500 0.000
0.138 0.362 0.000
0.362 0.862 0.000
0.638 0.138 0.000
0.862 0.638 0.000
0.140 0.640 0.500
0.360 0.140 0.500
0.640 0.860 0.500
0.860 0.360 0.500
```

- calculated volume (Å³/f.u.) = 123.2
- E_form (eV/atom) = -0.134
- energy relative to the lowest polymorph listed for this composition (kJ per mole of atoms) = 0.00